Record 1
VASP calculation (PBE) on an optimized crystal structure of Mn3HOs.

Summary:
The energy above the most stable polymorph in this dataset is 70 meV per atom. The space group is Pm, No. 6. For the density of states at the Fermi level, the calculation gives 4.6 states/eV/f.u. For the uncorrected energy, the calculation gives -41.95 eV/f.u.

POSCAR file:
```
Mn3HOs
1.0
4.141 0.000 0.000
0.000 5.210 0.009
0.000 -0.045 4.527
H Mn Os
2 6 2
direct
0.822 0.168 0.392
0.316 0.168 0.392
0.569 0.184 0.703
0.069 0.694 0.021
0.569 0.928 0.195
0.569 0.695 0.698
0.069 0.453 0.543
0.069 0.915 0.537
0.569 0.461 0.196
0.069 0.181 0.013
```

---

Record 2
VASP calculation (PBE) on an optimized crystal structure of Cs5P4I2.

Summary:
The space group is C2/m, No. 12. For the density of states at the Fermi level, the calculation gives 6.4 states/eV/f.u. For the uncorrected energy, the calculation gives -36.88 eV/f.u. As for the energy relative to the elements, uncorrected: -716 meV/atom.

POSCAR file:
```
Cs5P4I2
1.0
10.038 0.000 0.000
5.019 6.627 -1.984
5.019 -0.608 9.807
Cs P I
5 4 2
direct
0.268 0.203 0.797
0.732 0.797 0.203
0.000 0.500 0.500
0.732 0.203 0.797
0.268 0.797 0.203
0.384 0.125 0.106
0.616 0.875 0.894
0.759 0.579 0.903
0.241 0.421 0.097
0.280 0.911 0.529
0.720 0.089 0.471
```

---

Record 3
VASP calculation (PBE) on an optimized crystal structure of Tm2PuGa.

Summary:
The energy above the most stable polymorph in this dataset is 72 meV per atom. The formation energy comes out at -0.145 eV/atom. The space group is P4/mmm, No. 123. For the density of states at the Fermi level, the calculation gives 10.0 states/eV/f.u. For the uncorrected energy, the calculation gives -26.88 eV/f.u.

POSCAR file:
```
Tm2PuGa
1.0
4.487 0.000 0.000
0.000 4.709 0.000
0.000 0.000 4.709
Tm Ga Pu
2 1 1
direct
0.000 0.000 0.500
0.000 0.500 0.000
0.500 0.000 0.000
0.500 0.500 0.500
```

---

Record 4
VASP calculation (PBE) on an optimized crystal structure of ErTm2PaRu2.

Summary:
The formation energy comes out at -0.297 eV/atom. The space group is C2/c, No. 15. For the density of states at the Fermi level, the calculation gives 5.4 states/eV/f.u. For the uncorrected energy, the calculation gives -43.34 eV/f.u.

POSCAR file:
```
ErTm2PaRu2
1.0
6.659 0.002 0.001
0.002 6.755 0.000
-3.330 -3.379 6.797
Er Tm Pa Ru
2 4 2 4
direct
0.250 0.000 0.000
0.750 0.000 0.000
0.696 0.893 0.392
0.196 0.498 0.392
0.804 0.502 0.608
0.304 0.107 0.608
0.750 0.499 0.000
0.250 0.501 0.000
0.395 0.601 0.790
0.605 0.399 0.210
0.105 0.811 0.210
0.895 0.189 0.790
```

---

Record 5
VASP calculation (PBE) on an optimized crystal structure of PuCu4As2.

Summary:
The formation energy comes out at -0.316 eV/atom. The space group is P4_2/mnm, No. 136. For the density of states at the Fermi level, the calculation gives 11.4 states/eV/f.u. For the uncorrected energy, the calculation gives -42.23 eV/f.u.

POSCAR file:
```
PuCu4As2
1.0
-3.141 -2.100 -1.219
3.753 -6.330 1.234
-2.596 -0.176 6.993
As Cu Pu
4 8 2
direct
0.000 0.215 0.785
0.000 0.785 0.215
0.500 0.715 0.715
0.500 0.285 0.285
0.000 0.087 0.347
0.000 0.913 0.653
0.500 0.153 0.587
0.500 0.847 0.413
0.500 0.413 0.847
0.500 0.587 0.153
0.000 0.347 0.087
0.000 0.653 0.913
0.500 0.000 0.000
0.000 0.500 0.500
```

---

Record 6
VASP calculation (PBE) on an optimized crystal structure of Rb2In7Hg12.

Summary:
The formation energy comes out at -0.079 eV/atom. The space group is P-3, No. 147. For the density of states at the Fermi level, the calculation gives 6.4 states/eV/f.u. For the uncorrected energy, the calculation gives -26.39 eV/f.u.

POSCAR file:
```
Rb2In7Hg12
1.0
5.420 0.000 0.000
0.000 9.983 -5.764
0.000 0.000 11.527
Rb In Hg
2 7 12
direct
0.221 0.333 0.667
0.779 0.667 0.333
0.500 0.000 0.000
0.318 0.883 0.254
0.318 0.371 0.117
0.318 0.746 0.629
0.682 0.117 0.746
0.682 0.629 0.883
0.682 0.254 0.371
0.237 0.590 0.054
0.237 0.463 0.410
0.237 0.946 0.537
0.763 0.410 0.946
0.763 0.537 0.590
0.763 0.054 0.463
0.181 0.141 0.254
0.181 0.114 0.859
0.181 0.746 0.886
0.819 0.859 0.746
0.819 0.886 0.141
0.819 0.254 0.114
```

---

Record 7
VASP calculation (PBE) on an optimized crystal structure of ZnAsPRh2.

Summary:
The formation energy comes out at 0.892 eV/atom. The space group is P4/mmm, No. 123. For the density of states at the Fermi level, the calculation gives 5.6 states/eV/f.u. For the uncorrected energy, the calculation gives -21.57 eV/f.u.

POSCAR file:
```
ZnAsPRh2
1.0
4.675 0.000 0.000
0.000 4.180 0.000
0.000 0.000 4.675
P As Rh Zn
1 1 2 1
direct
0.000 0.500 0.000
0.500 0.500 0.500
0.000 0.000 0.500
0.500 0.000 0.000
0.000 0.000 0.000
```

---

Record 8
VASP calculation (PBE) on an optimized crystal structure of Ta2AlPbAu.

Summary:
The formation energy comes out at 2.040 eV/atom. The space group is P4/mmm, No. 123. For the density of states at the Fermi level, the calculation gives 6.2 states/eV/f.u. For the uncorrected energy, the calculation gives -24.23 eV/f.u.

POSCAR file:
```
Ta2AlPbAu
1.0
-4.631 0.618 -2.315
-1.032 -4.888 0.760
-2.146 1.169 4.606
Pb Au Al Ta
1 1 1 2
direct
0.000 0.000 0.000
0.000 0.500 0.000
0.500 0.500 0.500
0.000 0.000 0.500
0.500 0.000 0.000
```

---

Record 9
VASP calculation (PBE) on an optimized crystal structure of Pa2As2P.

Summary:
The formation energy comes out at -0.739 eV/atom. The space group is Immm, No. 71. For the density of states at the Fermi level, the calculation gives 3.0 states/eV/f.u. For the uncorrected energy, the calculation gives -37.39 eV/f.u.

POSCAR file:
```
Pa2As2P
1.0
-3.331 -0.358 -2.214
3.044 -1.923 -4.269
-0.632 -4.823 5.374
Pa As P
2 2 1
direct
0.351 0.851 0.701
0.649 0.149 0.299
0.689 0.689 0.378
0.311 0.311 0.622
0.000 0.000 0.000
```

---

Record 10
VASP calculation (PBE) on an optimized crystal structure of KGdTe2.

Summary:
The space group is P4/mmm, No. 123. For the density of states at the Fermi level, the calculation gives 1.6 states/eV/f.u. For the uncorrected energy, the calculation gives -26.32 eV/f.u. As for the energy relative to the elements, uncorrected: -1214 meV/atom.

POSCAR file:
```
KGdTe2
1.0
3.916 0.000 0.000
0.000 3.916 0.000
0.000 0.000 8.520
K Gd Te
1 1 2
direct
0.500 0.500 0.500
0.500 0.500 0.000
0.000 0.000 0.788
0.000 0.000 0.212
```

---

Record 11
VASP calculation (PBE) on an optimized crystal structure of AsIrCl.

Summary:
The energy above the most stable polymorph in this dataset is 1021 meV per atom. The space group is F-43m, No. 216. For the density of states at the Fermi level, the calculation gives 5.3 states/eV/f.u. For the uncorrected energy, the calculation gives -12.80 eV/f.u. As for the energy relative to the elements, uncorrected: 853 meV/atom.

POSCAR file:
```
AsIrCl
1.0
4.393 0.000 0.000
2.197 3.804 0.000
2.197 1.268 3.587
As Ir Cl
1 1 1
direct
0.750 0.750 0.750
0.500 0.500 0.500
0.000 0.000 0.000
```

---

Record 12
VASP calculation (PBE) on an optimized crystal structure of Na2PuMgF8.

Summary:
The space group is P2/m, No. 10. For the density of states at the Fermi level, the calculation gives 2.1 states/eV/f.u. For the uncorrected energy, the calculation gives -72.21 eV/f.u. As for the energy relative to the elements, uncorrected: -3223 meV/atom.

POSCAR file:
```
Na2PuMgF8
1.0
-0.401 2.150 -4.671
-1.262 -4.665 -1.768
-6.586 1.335 1.179
Na Pu Mg F
2 1 1 8
direct
0.500 0.500 0.722
0.500 0.500 0.278
0.000 0.000 0.000
0.000 0.000 0.500
0.182 0.821 0.252
0.703 0.698 0.000
0.818 0.179 0.252
0.818 0.179 0.748
0.297 0.302 0.000
0.182 0.821 0.748
0.734 0.730 0.500
0.266 0.270 0.500
```